This record from the Alexandria database describes a relaxed structure of BaSb2O6. The functional is PBE-GGA.

Summary:
total DFT energy (no corrections): -6.25 eV/atom
M_tot: 0.00 Bohr magnetons per cell

abc: 7.2922 7.2922 7.2922
angles: 60.00 60.00 60.00
Atoms (fractional coordinates):
O1 0.4536 0.4536 0.0464
O2 0.7964 0.2036 0.2036
O3 0.0464 0.4536 0.4536
O4 0.2036 0.7964 0.2036
Sb1 0.1250 0.1250 0.6250
Ba1 0.5000 0.5000 0.5000
O5 0.4536 0.0464 0.4536
Sb2 0.6250 0.1250 0.1250
O6 0.7964 0.2036 0.7964
Sb3 0.1250 0.1250 0.1250
O7 0.2036 0.7964 0.7964
O8 0.0464 0.0464 0.4536
O9 0.2036 0.2036 0.7964
O10 0.4536 0.0464 0.0464
O11 0.7964 0.7964 0.2036
Sb4 0.1250 0.6250 0.1250
O12 0.0464 0.4536 0.0464
Ba2 0.7500 0.7500 0.7500

***

This record from the Alexandria database describes a relaxed structure of BaSc2Sb2O. The functional is PBE-GGA.

Summary:
total DFT energy (no corrections): -6.32 eV/atom
M_tot: 0.00 Bohr magnetons per cell

abc: 4.4000 4.4000 7.8614
angles: 90.00 90.00 90.00
Atoms (fractional coordinates):
O1 0.0000 0.0000 0.0000
Sc1 0.5000 0.0000 0.0000
Ba1 0.0000 0.0000 0.5000
Sc2 0.0000 0.5000 0.0000
Sb1 0.5000 0.5000 0.2596
Sb2 0.5000 0.5000 0.7404

***

This record from the Alexandria database describes a relaxed structure of Ba3ScSb2O8. The functional is PBE-GGA.

Summary:
total DFT energy (no corrections): -6.44 eV/atom
M_tot: 0.66 Bohr magnetons per cell

abc: 6.0322 6.0322 7.9903
angles: 90.00 90.00 120.00
Each line ends with the local moment (μB).
Atoms (fractional coordinates):
O1 0.3333 0.6667 0.9473  0.10
Sb1 0.6667 0.3333 0.7955  0.05
Ba1 0.0000 0.0000 0.0000  0.00
Sc1 0.0000 0.0000 0.5000  0.02
Sb2 0.3333 0.6667 0.2045  0.05
O2 0.1632 0.3264 0.3389  0.04
O3 0.8368 0.6736 0.6611  0.04
O4 0.8368 0.1632 0.6611  0.04
Ba2 0.6667 0.3333 0.3635  0.01
Ba3 0.3333 0.6667 0.6365  0.01
O5 0.1632 0.8368 0.3389  0.04
O6 0.6736 0.8368 0.3389  0.04
O7 0.6667 0.3333 0.0527  0.10
O8 0.3264 0.1632 0.6611  0.04

***

This record from the Alexandria database describes a relaxed structure of Ba2ScSbO6. The functional is PBE-GGA.

Summary:
energy relative to the lowest polymorph listed for this composition: 2300 meV/atom
total DFT energy (no corrections): -4.77 eV/atom
M_tot: 0.66 Bohr magnetons per cell

abc: 6.6140 6.6140 6.6140
angles: 60.00 60.00 60.00
Each line ends with the local moment (μB).
Atoms (fractional coordinates):
O1 0.0000 0.0000 0.5000  0.11
Sc1 0.0000 0.0000 0.0000  -0.42
O2 0.0000 0.5000 0.0000  0.11
O3 0.0000 0.5000 0.5000  0.11
O4 0.5000 0.0000 0.5000  0.11
O5 0.5000 0.5000 0.0000  0.11
Ba1 0.7500 0.7500 0.7500  0.05
O6 0.5000 0.0000 0.0000  0.11
Ba2 0.2500 0.2500 0.2500  0.05
Sb1 0.5000 0.5000 0.5000  0.14

***

This record from the Alexandria database describes a relaxed structure of Ba2ScSbO6. The functional is PBE-GGA.

Summary:
energy relative to the lowest polymorph listed for this composition: 0 meV/atom
total DFT energy (no corrections): -7.07 eV/atom
M_tot: 0.00 Bohr magnetons per cell

abc: 5.8771 5.8772 5.8774
angles: 60.00 60.00 90.00
Atoms (fractional coordinates):
O1 0.2564 0.2564 0.0000
O2 0.2564 0.7436 0.0000
Sb1 0.5000 0.5000 0.0000
Sc1 0.0000 0.0000 0.0000
O3 0.7435 0.7435 0.5129
O4 0.2565 0.2565 0.4871
O5 0.7436 0.2564 0.0000
O6 0.7436 0.7436 0.0000
Ba1 0.2500 0.7500 0.5000
Ba2 0.7500 0.2500 0.5000

***

This record from the Alexandria database describes a relaxed structure of Ba2ScSb3O12. The functional is PBE-GGA.

Summary:
total DFT energy (no corrections): -6.44 eV/atom
M_tot: 2.08 Bohr magnetons per cell

abc: 7.2838 7.2838 7.2838
angles: 61.11 61.11 61.11
Each line ends with the local moment (μB).
Atoms (fractional coordinates):
O1 0.0883 0.6549 0.0883  0.21
O2 0.9117 0.3451 0.9117  0.21
Sc1 0.0000 0.0000 0.0000  -0.03
O3 0.3232 0.3232 0.9153  0.10
O4 0.3232 0.9153 0.3232  0.10
O5 0.6549 0.0883 0.0883  0.21
O6 0.3451 0.9117 0.9117  0.21
Ba1 0.3702 0.3702 0.3702  -0.01
O7 0.0883 0.0883 0.6549  0.21
O8 0.9117 0.9117 0.3451  0.21
Sb1 0.0000 0.0000 0.5000  -0.01
O9 0.9153 0.3232 0.3232  0.10
O10 0.0847 0.6768 0.6768  0.10
O11 0.6768 0.0847 0.6768  0.10
O12 0.6768 0.6768 0.0847  0.10
Sb2 0.0000 0.5000 0.0000  -0.01
Ba2 0.6298 0.6298 0.6298  -0.01
Sb3 0.5000 0.0000 0.0000  -0.01